Record 1
A relaxed structure of Cs5Te2I12, computed with GGA-PBE.

Results
* calculated density: 4.11 g/cm³
* crystal system: monoclinic
* space-group type: No. 12
* magnetic moment: 1.1 μB/cell
* E_form (uncorrected): -0.7575 eV per atom

Unit cell a=9.6450 b=10.5521 c=11.3642 alpha=107.53 beta=115.11 gamma=90.00
Closest atoms and distances in Å follow each position.
Sites, in units of the cell vectors:
Cs1 0.7467 0.5079 0.4933  6 I 3.86-3.98
Cs2 0.7641 0.9992 0.5282  10 I 3.99-4.17
Cs3 0.0000 0.5000 0.0000  6 I 3.84-3.95
Cs4 0.2359 0.0008 0.4718  10 I 3.99-4.17
Cs5 0.2533 0.4921 0.5067  6 I 3.86-3.98
Te1 0.3488 0.0000 0.0000  1 Te 2.92, 4 I 2.99-3.15
Te2 0.6512 0.0000 0.0000  1 Te 2.92, 4 I 2.99-3.15
I1 0.0305 0.8789 0.0610  1 I 3.20
I2 0.8525 0.1757 0.2897  1 Te 2.99
I3 0.4372 0.1757 0.2897  1 Te 2.99
I4 0.9148 0.6791 0.3161  2 I 3.71-3.84, 4 Cs 3.86-4.00
I5 0.4014 0.6791 0.3161  2 I 3.71-3.84, 4 Cs 3.86-4.00
I6 0.4470 0.2118 0.8941  2 Te 3.15
I7 0.5530 0.7882 0.1059  2 Te 3.15
I8 0.0852 0.3209 0.6839  2 I 3.71-3.84, 4 Cs 3.86-4.00
I9 0.5986 0.3209 0.6839  2 I 3.71-3.84, 4 Cs 3.86-4.00
I10 0.1475 0.8243 0.7103  1 Te 2.99
I11 0.5628 0.8243 0.7103  1 Te 2.99
I12 0.9695 0.1211 0.9390  1 I 3.20

Record 2
A relaxed structure of TcBr2N, computed with GGA-PBE.

Results
* calculated density: 5.60 g/cm³
* crystal system: tetragonal
* space-group type: No. 122
* magnetic moment: 0.0 μB/cell
* excess energy over the best structure of this formula in the dataset: 175.9 meV/atom
* E_form (uncorrected): 1.6542 eV per atom

Unit cell a=6.1214 b=6.1214 c=6.1030 alpha=59.90 beta=59.90 gamma=90.00
Closest atoms and distances in Å follow each position.
Sites, in units of the cell vectors:
Tc1 0.0000 0.0000 0.0000  4 Br 2.42
Tc2 0.7500 0.2500 0.5000  4 Br 2.42
Br1 0.6239 0.1250 0.2500  2 N 2.41, 2 Tc 2.42
Br2 0.1261 0.6250 0.2500  2 N 2.41, 2 Tc 2.42
Br3 0.3750 0.3761 0.7500  2 N 2.41, 2 Tc 2.42
Br4 0.8750 0.8739 0.7500  2 N 2.41, 2 Tc 2.42
N1 0.5000 0.5000 0.0000  4 Br 2.41
N2 0.2500 0.7500 0.5000  4 Br 2.41

Record 3
A relaxed structure of RbBa2Zr, computed with GGA-PBE.

Results
* calculated density: 3.80 g/cm³
* crystal system: cubic
* space-group type: No. 225
* ΔH_f (0 K): 749 meV per atom
* magnetic moment: 3.9 μB/cell
* excess energy over the best structure of this formula in the dataset: 0.0 meV/atom

Unit cell a=6.5336 b=6.5336 c=6.5336 alpha=60.00 beta=60.00 gamma=60.00
Closest atoms and distances in Å follow each position.
Sites, in units of the cell vectors:
Rb1 0.0000 0.0000 0.0000  8 Ba 4.00
Ba1 0.2500 0.2500 0.2500  4 Zr 4.00, 4 Rb 4.00
Ba2 0.7500 0.7500 0.7500  4 Zr 4.00, 4 Rb 4.00
Zr1 0.5000 0.5000 0.5000  8 Ba 4.00

Record 4
A relaxed structure of Pr3Zn4Rh2, computed with GGA-PBE.

Results
* calculated density: 7.55 g/cm³
* crystal system: monoclinic
* space-group type: No. 12
* ΔH_f (0 K): -509 meV per atom
* magnetic moment: 0.0 μB/cell
* excess energy over the best structure of this formula in the dataset: 0.0 meV/atom

Unit cell a=4.2993 b=6.0497 c=8.6789 alpha=69.60 beta=75.66 gamma=69.19
Closest atoms and distances in Å follow each position.
Sites, in units of the cell vectors:
Pr1 0.3165 0.7179 0.6492  3 Rh 3.07-3.09, 8 Zn 3.20-3.38
Pr2 0.0000 0.0000 0.0000  4 Rh 3.07, 8 Zn 3.11-3.38
Pr3 0.6835 0.2821 0.3508  3 Rh 3.07-3.09, 8 Zn 3.20-3.38
Zn1 0.2807 0.3850 0.0536  2 Zn 2.54, 1 Rh 2.61
Zn2 0.7193 0.6150 0.9464  2 Zn 2.54, 1 Rh 2.61
Zn3 0.0339 0.3044 0.6279  2 Rh 2.59, 1 Zn 2.60
Zn4 0.9661 0.6956 0.3721  2 Rh 2.59, 1 Zn 2.60
Rh1 0.3922 0.9470 0.2687  3 Zn 2.59-2.61
Rh2 0.6078 0.0530 0.7313  3 Zn 2.59-2.61

Record 5
A relaxed structure of TaCoPt6, computed with GGA-PBE.

Results
* calculated density: 19.06 g/cm³
* crystal system: monoclinic
* space-group type: No. 12
* ΔH_f (0 K): -394 meV per atom
* magnetic moment: 2.4 μB/cell

Unit cell a=3.9240 b=4.8619 c=7.3726 alpha=76.75 beta=74.57 gamma=66.20
Closest atoms and distances in Å follow each position.
Sites, in units of the cell vectors:
Ta1 0.0000 0.5000 0.5000  12 Pt 2.77-2.81
Co1 0.0000 0.0000 0.0000  12 Pt 2.78-2.79
Pt1 0.2491 0.8739 0.6279  8 Pt 2.77-2.82, 1 Co 2.78, 3 Ta 2.80-2.81
Pt2 0.4991 0.2515 0.7502  2 Ta 2.77, 8 Pt 2.78-2.82, 2 Co 2.78
Pt3 0.2508 0.3761 0.1223  8 Pt 2.75-2.81, 3 Co 2.79, 1 Ta 2.81
Pt4 0.5009 0.7485 0.2498  2 Ta 2.77, 8 Pt 2.78-2.82, 2 Co 2.78
Pt5 0.7509 0.1261 0.3721  8 Pt 2.77-2.82, 1 Co 2.78, 3 Ta 2.80-2.81
Pt6 0.7492 0.6239 0.8777  8 Pt 2.75-2.81, 3 Co 2.79, 1 Ta 2.81

Record 6
A relaxed structure of Cs2ScOF6, computed with GGA-PBE.

Results
* calculated density: 4.02 g/cm³
* crystal system: tetragonal
* space-group type: No. 139
* magnetic moment: 3.0 μB/cell
* E_form (uncorrected): -2.5015 eV per atom

Unit cell a=6.1946 b=6.1946 c=6.4597 alpha=61.35 beta=61.35 gamma=90.00
Closest atoms and distances in Å follow each position.
Sites, in units of the cell vectors:
Cs1 0.7500 0.2500 0.5000  12 F 3.12-3.23
Cs2 0.2500 0.7500 0.5000  12 F 3.12-3.23
Sc1 0.0000 0.0000 0.0000  6 F 2.02-2.05
O1 0.5000 0.5000 0.0000  4 F 2.33
F1 0.2132 0.2132 0.5736  1 Sc 2.02
F2 0.7868 0.7868 0.4264  1 Sc 2.02
F3 0.2343 0.2343 0.0000  1 Sc 2.05
F4 0.7657 0.7657 0.0000  1 Sc 2.05
F5 0.7657 0.2343 0.0000  1 Sc 2.05
F6 0.2343 0.7657 0.0000  1 Sc 2.05

Record 7
A relaxed structure of PmPr5Ag6, computed with GGA-PBE.

Results
* calculated density: 7.69 g/cm³
* crystal system: orthorhombic
* space-group type: No. 65
* ΔH_f (0 K): -247 meV per atom
* magnetic moment: 0.0 μB/cell

Unit cell a=5.3771 b=7.4597 c=8.4961 alpha=90.00 beta=71.55 gamma=90.00
Closest atoms and distances in Å follow each position.
Sites, in units of the cell vectors:
Pr1 0.6672 0.5000 0.6657  8 Ag 3.28-3.30
Pr2 0.3335 0.0000 0.3330  8 Ag 3.25-3.29
Pr3 0.0000 0.5000 0.0000  8 Ag 3.26-3.29
Pr4 0.6665 0.0000 0.6670  8 Ag 3.25-3.29
Pr5 0.3328 0.5000 0.3343  8 Ag 3.28-3.30
Ag1 0.8351 0.7521 0.3298  1 Pm 3.24, 7 Pr 3.26-3.30
Ag2 0.8351 0.2479 0.3298  1 Pm 3.24, 7 Pr 3.26-3.30
Ag3 0.5000 0.2453 0.0000  6 Pr 3.25-3.30, 2 Pm 3.25
Ag4 0.5000 0.7547 0.0000  6 Pr 3.25-3.30, 2 Pm 3.25
Ag5 0.1649 0.7521 0.6702  1 Pm 3.24, 7 Pr 3.26-3.30
Ag6 0.1649 0.2479 0.6702  1 Pm 3.24, 7 Pr 3.26-3.30
Pm1 0.0000 0.0000 0.0000  8 Ag 3.24-3.25

Record 8
A relaxed structure of Ca8Mg2Cd, computed with GGA-PBE.

Results
* calculated density: 2.03 g/cm³
* crystal system: monoclinic
* space-group type: No. 12
* ΔH_f (0 K): -65 meV per atom
* magnetic moment: 0.0 μB/cell
* excess energy over the best structure of this formula in the dataset: 0.0 meV/atom

Unit cell a=5.6839 b=7.7411 c=9.9092 alpha=108.46 beta=106.67 gamma=90.00
Closest atoms and distances in Å follow each position.
Sites, in units of the cell vectors:
Ca1 0.4026 0.5590 0.8052  1 Cd 3.30, 2 Mg 3.52, 2 Ca 3.67
Ca2 0.6606 0.9495 0.3212  1 Cd 3.20, 3 Mg 3.33-3.55
Ca3 0.8052 0.7225 0.6105  3 Mg 3.32-3.65, 3 Ca 3.72
Ca4 0.9792 0.2212 0.9583  1 Mg 3.32, 2 Cd 3.41, 2 Ca 3.67
Ca5 0.1948 0.2775 0.3895  3 Mg 3.32-3.65, 3 Ca 3.72
Ca6 0.3394 0.0505 0.6788  1 Cd 3.20, 3 Mg 3.33-3.55
Ca7 0.5974 0.4410 0.1948  1 Cd 3.30, 2 Mg 3.52, 2 Ca 3.67
Ca8 0.0208 0.7788 0.0417  1 Mg 3.32, 2 Cd 3.41, 2 Ca 3.67
Mg1 0.8184 0.3049 0.6369  9 Ca 3.32-3.65
Mg2 0.1816 0.6951 0.3631  9 Ca 3.32-3.65
Cd1 0.5000 0.0000 0.0000  8 Ca 3.20-3.41